VASP calculation (GGA-PBE) on a relaxed Sr2Te crystal.

Properties
- N(E_F): 1.847 states/eV/f.u.
- E_form (uncorrected): -0.967 eV/atom
- Energy: -3.136 eV per atom
- Spin magnetization: 0.00 μB per formula unit

Lattice parameters (Å, degrees): 6.863 6.863 6.863 110.65 110.65 107.13
Positions (direct):
Sr1 0.187 0.687 0.874
Sr2 0.313 0.187 0.500
Sr3 0.687 0.813 0.500
Sr4 0.813 0.313 0.126
Te1 0.250 0.250 0.000
Te2 0.750 0.750 0.000